4
Lattice="0.0000 3.0429 3.0429 3.0429 0.0000 3.0429 3.0429 3.0429 0.0000" Properties=species:S:1:pos:R:3 comment="PBE MgNbCoNi, optimized geometry" formation_energy_ev_per_fu=-0.37 volume_a3_per_atom=14.088 final_energy_ev_per_fu=-24.9 pbc="T T T"
Mg 0.0000 0.0000 0.0000
Nb 3.0429 3.0429 3.0429
Co 1.5215 1.5215 1.5215
Ni 4.5644 4.5644 4.5644